16
Lattice="-0.490 -3.118 0.354 3.301 0.599 -4.406 8.596 -0.630 6.354" Properties=species:S:1:pos:R:3 comment="ErHf2BeN4 (GGA-PBE, relaxed)" raw_formation_energy_ev_per_fu=-13.0 dos_ef_per_ev_cell=2.52 rho_g_cm3=10.846 pbc="T T T"
Er 7.088 -0.674 3.879
Er 4.319 -2.475 -1.577
Hf 7.005 -1.057 0.382
Hf 1.000 -1.842 -0.595
Hf 4.402 -2.092 1.920
Hf 10.407 -1.307 2.897
Be 8.213 -2.663 2.159
Be 3.194 -0.486 0.143
N 2.712 -0.595 -1.490
N 6.529 -2.395 2.190
N 8.695 -2.554 3.792
N 4.878 -0.754 0.112
N 4.298 -0.315 3.177
N 0.000 0.000 0.000
N 9.053 -1.291 1.159
N 2.354 -1.858 1.143



11
Lattice="-1.571 -2.048 -4.675 -0.222 -6.623 2.976 -7.249 5.591 3.037" Properties=species:S:1:pos:R:3 comment="Nd3Dy4Cd4 (GGA-PBE, relaxed)" dos_ef_per_ev_cell=11.69 final_energy_ev_per_atom=-3.419 rho_g_cm3=7.693 pbc="T T T"
Nd -1.732 0.267 0.465
Nd -7.310 -3.347 0.873
Nd -0.111 -3.311 1.488
Dy -5.156 2.341 0.707
Dy -3.782 -2.344 -0.752
Dy -3.885 -5.421 0.630
Dy -5.259 -0.735 2.090
Cd -3.105 -2.850 2.292
Cd -5.937 -0.230 -0.954
Cd -0.963 -6.311 0.038
Cd -0.830 -2.360 -1.737



80
Lattice="-13.166 7.844 -7.977 -1.958 -17.128 -1.137 0.267 4.675 16.631" Properties=species:S:1:pos:R:3 comment="K12Ag5Br3 (GGA-PBE, relaxed)" raw_formation_energy_ev_per_fu=-6.5 dos_ef_per_ev_cell=39.44 rho_g_cm3=2.088 pbc="T T T"
Br -10.576 0.044 -4.330
Br -12.956 -5.399 -5.754
Br -6.239 -6.983 6.550
Br -3.436 1.573 4.100
Br -11.699 5.891 -2.964
Br -6.094 -6.595 0.456
Br -8.763 1.985 7.061
Br -3.159 -10.501 10.481
Br -11.421 -6.183 3.417
Br -8.618 2.373 0.967
Br -1.902 0.789 13.271
Br -4.282 -4.654 11.847
Ag -2.313 -4.274 2.734
Ag -0.979 -8.564 -0.569
Ag 0.000 0.000 0.000
Ag -5.394 -0.756 -1.197
Ag -6.450 6.259 4.327
Ag -7.562 -4.642 -4.557
Ag -3.014 -10.113 4.387
Ag -9.886 7.832 8.427
Ag -10.999 -3.069 -0.457
Ag -4.982 4.306 9.340
Ag -9.876 -8.916 -1.823
Ag -7.429 -2.305 3.758
Ag -6.583 3.922 -3.988
Ag 0.133 2.337 8.315
Ag -3.859 -1.540 7.974
Ag -4.972 -12.442 -0.910
Ag -0.846 -6.227 7.747
Ag -11.843 5.503 3.130
Ag -9.464 -3.853 8.714
Ag -12.544 -0.336 4.783
K -9.810 3.860 -5.060
K -5.252 -4.911 3.939
K -13.131 2.233 -3.456
K -7.698 1.009 -2.635
K -9.216 -4.566 5.563
K -13.533 -1.508 -5.294
K -5.690 -8.828 3.090
K -2.631 -14.207 0.468
K -9.169 -8.597 5.603
K -10.723 -3.843 -3.590
K -10.939 0.169 -0.389
K -12.675 -9.219 -6.756
K -2.891 -8.921 7.396
K -5.785 -3.924 -1.748
K -3.109 -13.351 4.378
K -5.284 3.658 6.180
K -1.669 -1.099 2.751
K -7.184 -7.728 -3.179
K -12.546 -7.577 -3.076
K -2.368 -5.474 -0.274
K -6.618 -9.646 8.753
K -8.609 -4.353 1.314
K -13.723 -4.250 0.839
K -10.564 4.665 8.349
K -6.249 -0.257 6.203
K -1.135 -0.360 6.678
K -4.294 -9.275 -0.833
K -2.312 2.968 10.593
K -8.240 5.036 -1.236
K -12.490 0.864 7.791
K -7.673 3.118 10.696
K -9.574 -8.267 1.337
K -13.189 -3.510 4.766
K -11.748 8.741 3.138
K -11.967 4.311 0.121
K -2.183 4.609 14.273
K -9.073 -0.685 9.265
K -5.689 3.987 1.914
K -4.135 -0.767 11.107
K -3.918 -4.779 7.906
K -12.227 9.597 7.049
K -9.168 4.218 4.427
K -7.160 -5.618 10.152
K -1.325 -3.102 12.811
K -5.642 -0.044 1.954
K -1.726 -6.842 10.973
K -9.606 0.301 3.578
K -5.048 -8.470 12.577